VASP calculation (PBE) on a geometry-optimized ThMg2ZnHg2 structure.

a b c (Å): 4.253 4.253 9.250
angles (deg): 103.29 103.29 90.00
Element x y z (fractional)
Th: 0.500 0.500 0.000
Mg: 0.250 0.750 0.500
Mg: 0.750 0.250 0.500
Zn: 0.000 0.000 0.000
Hg: 0.143 0.143 0.286
Hg: 0.857 0.857 0.714

Values from the calculation:
Electronic total energy = -0.144 Ry per atom
Size of the total moment = 0.00 μB per atom

VASP calculation (PBE) on a geometry-optimized Th3MgZn6Hg2 structure.

a b c (Å): 5.973 5.973 8.743
angles (deg): 90.00 90.00 120.00
Element x y z (fractional)
Th: 0.333 0.667 0.606
Th: 0.667 0.333 0.394
Th: 0.000 0.000 0.000
Mg: 0.000 0.000 0.500
Zn: 0.632 0.816 0.280
Zn: 0.184 0.368 0.280
Zn: 0.184 0.816 0.280
Zn: 0.816 0.632 0.720
Zn: 0.368 0.184 0.720
Zn: 0.816 0.184 0.720
Hg: 0.667 0.333 0.019
Hg: 0.333 0.667 0.981

Values from the calculation:
Electronic total energy = -0.204 Ry per atom
Size of the total moment = 0.00 μB per atom

VASP calculation (PBE) on a geometry-optimized ThMg2ZrHg4 structure.

a b c (Å): 4.997 4.997 9.051
angles (deg): 73.98 73.98 60.00
Element x y z (fractional)
Th: 0.000 0.000 0.000
Mg: 0.754 0.754 0.738
Mg: 0.246 0.246 0.262
Zr: 0.500 0.500 0.500
Hg: 0.384 0.384 0.848
Hg: 0.872 0.872 0.384
Hg: 0.128 0.128 0.616
Hg: 0.616 0.616 0.152

Values from the calculation:
Electronic total energy = -0.203 Ry per atom
Size of the total moment = 0.00 μB per atom

VASP calculation (PBE) on a geometry-optimized Mg2TiHg structure.

a b c (Å): 3.119 3.119 8.340
angles (deg): 90.00 90.00 90.00
Element x y z (fractional)
Mg: 0.000 0.000 0.751
Mg: 0.000 0.000 0.249
Hg: 0.500 0.500 0.000
Ti: 0.500 0.500 0.500

Values from the calculation:
Polymorph energy (0 for the lowest one) = 45.1 meV/atom
Electronic total energy = -0.208 Ry per atom
Size of the total moment = 0.21 μB per atom

VASP calculation (PBE) on a geometry-optimized Mg2TiHg structure.

a b c (Å): 4.296 4.272 4.272
angles (deg): 90.00 90.00 90.00
Element x y z (fractional)
Mg: 0.000 0.000 0.500
Mg: 0.000 0.500 0.000
Hg: 0.500 0.500 0.500
Ti: 0.500 0.000 0.000

Values from the calculation:
Polymorph energy (0 for the lowest one) = 0.0 meV/atom
Electronic total energy = -0.211 Ry per atom
Size of the total moment = 0.23 μB per atom

VASP calculation (PBE) on a geometry-optimized Mg2TiHg structure.

a b c (Å): 4.814 4.814 4.814
angles (deg): 60.00 60.00 60.00
Element x y z (fractional)
Mg: 0.250 0.250 0.250
Mg: 0.750 0.750 0.750
Hg: 0.500 0.500 0.500
Ti: 0.000 0.000 0.000

Values from the calculation:
Polymorph energy (0 for the lowest one) = 147.3 meV/atom
Electronic total energy = -0.201 Ry per atom
Size of the total moment = 0.46 μB per atom

VASP calculation (PBE) on a geometry-optimized MgTi2Hg2 structure.

a b c (Å): 7.652 7.652 3.434
angles (deg): 90.00 90.00 90.00
Element x y z (fractional)
Mg: 0.000 0.000 0.000
Mg: 0.500 0.500 0.000
Hg: 0.365 0.865 0.000
Hg: 0.865 0.635 0.000
Hg: 0.635 0.135 0.000
Hg: 0.135 0.365 0.000
Ti: 0.167 0.667 0.500
Ti: 0.667 0.833 0.500
Ti: 0.833 0.333 0.500
Ti: 0.333 0.167 0.500

Values from the calculation:
Polymorph energy (0 for the lowest one) = 0.0 meV/atom
Electronic total energy = -0.258 Ry per atom
Size of the total moment = 0.15 μB per atom

VASP calculation (PBE) on a geometry-optimized MgTi3Hg structure.

a b c (Å): 4.770 4.770 4.770
angles (deg): 90.00 90.00 90.00
Element x y z (fractional)
Mg: 0.000 0.000 0.000
Hg: 0.500 0.500 0.500
Ti: 0.000 0.500 0.000
Ti: 0.000 0.000 0.500
Ti: 0.500 0.000 0.000

Values from the calculation:
Polymorph energy (0 for the lowest one) = 128.9 meV/atom
Electronic total energy = -0.290 Ry per atom
Size of the total moment = 0.00 μB per atom

So what do the calculations give for ΔH_f (0 K)? Going down the list: 0.723; -1.158; -1.756; 0.061; -0.119; 0.470; 0.406; 5.828 eV per formula unit.